[1]
Here is BaNa4Sr3 after structural relaxation from Alexandria via LeMat-Bulk. Energies are from PBE-GGA.

Output
formation enthalpy at 0 K = 112 meV per atom
relative energy among the computed polymorphs = 93 meV/atom

abc: 21.7404 4.2006 9.3034
angles: 90.00 108.28 90.00
Sites, in units of the cell vectors:
Ba 0.0000 0.0000 0.0000
Ba 0.5000 0.5000 0.0000
Na 0.1260 0.0000 0.7840
Na 0.1547 0.0000 0.4476
Na 0.3453 0.5000 0.5524
Na 0.3740 0.5000 0.2160
Na 0.6260 0.5000 0.7840
Na 0.6547 0.5000 0.4476
Na 0.8453 0.0000 0.5524
Na 0.8740 0.0000 0.2160
Sr 0.0000 0.5000 0.5000
Sr 0.1951 0.5000 0.1362
Sr 0.3049 0.0000 0.8638
Sr 0.5000 0.0000 0.5000
Sr 0.6951 0.0000 0.1362
Sr 0.8049 0.5000 0.8638

=====

[2]
Here is Ac2BeGeN after structural relaxation from Alexandria via LeMat-Bulk. Energies are from PBE-GGA.

Output
energy relative to the elements, uncorrected = -4.2 eV/f.u.

abc: 6.7250 4.0784 8.7718
angles: 90.00 108.78 90.00
Sites, in units of the cell vectors:
Ac 0.2094 0.2500 0.3939
Ac 0.2161 0.2500 0.9593
Ac 0.7839 0.7500 0.0407
Ac 0.7906 0.7500 0.6061
Be 0.4401 0.7500 0.2402
Be 0.5599 0.2500 0.7598
Ge 0.3528 0.7500 0.7089
Ge 0.6472 0.2500 0.2911
N 0.1854 0.7500 0.1729
N 0.8146 0.2500 0.8271

=====

[3]
Here is BaNa12Pb4 after structural relaxation from Alexandria via LeMat-Bulk. Energies are from PBE-GGA.

Output
formation enthalpy at 0 K = 45 meV per atom

abc: 9.6688 9.6688 9.6688
angles: 109.47 109.47 109.47
Sites, in units of the cell vectors:
Ba 0.0000 0.0000 0.0000
Na 0.1598 0.8219 0.3379
Na 0.1781 0.3379 0.5159
Na 0.1781 0.6621 0.8402
Na 0.3379 0.1598 0.8219
Na 0.3379 0.5159 0.1781
Na 0.4841 0.8219 0.6621
Na 0.5159 0.1781 0.3379
Na 0.6621 0.4841 0.8219
Na 0.6621 0.8402 0.1781
Na 0.8219 0.3379 0.1598
Na 0.8219 0.6621 0.4841
Na 0.8402 0.1781 0.6621
Pb 0.0000 0.0000 0.5000
Pb 0.0000 0.5000 0.0000
Pb 0.5000 0.0000 0.0000
Pb 0.5000 0.5000 0.5000

=====

[4]
Here is Sc3Co2Ge3 after structural relaxation from Alexandria via LeMat-Bulk. Energies are from PBE-GGA.

Output
formation enthalpy at 0 K = -716 meV per atom
relative energy among the computed polymorphs = 29 meV/atom

abc: 7.6468 13.2823 5.2785
angles: 90.00 90.00 90.00
Sites, in units of the cell vectors:
Sc 0.0412 0.1133 0.1191
Sc 0.0412 0.3867 0.1191
Sc 0.1849 0.2500 0.6320
Sc 0.3151 0.7500 0.1320
Sc 0.4588 0.6133 0.6191
Sc 0.4588 0.8867 0.6191
Sc 0.5412 0.1133 0.3809
Sc 0.5412 0.3867 0.3809
Sc 0.6849 0.2500 0.8680
Sc 0.8151 0.7500 0.3680
Sc 0.9588 0.6133 0.8809
Sc 0.9588 0.8867 0.8809
Co 0.0770 0.5954 0.3932
Co 0.0770 0.9046 0.3932
Co 0.4230 0.0954 0.8932
Co 0.4230 0.4046 0.8932
Co 0.5770 0.5954 0.1068
Co 0.5770 0.9046 0.1068
Co 0.9230 0.0954 0.6068
Co 0.9230 0.4046 0.6068
Ge 0.1653 0.7500 0.6107
Ge 0.2041 0.0403 0.6270
Ge 0.2041 0.4597 0.6270
Ge 0.2959 0.5403 0.1270
Ge 0.2959 0.9597 0.1270
Ge 0.3347 0.2500 0.1107
Ge 0.6653 0.7500 0.8893
Ge 0.7041 0.0403 0.8730
Ge 0.7041 0.4597 0.8730
Ge 0.7959 0.5403 0.3730
Ge 0.7959 0.9597 0.3730
Ge 0.8347 0.2500 0.3893

=====

[5]
Here is Dy4TmSc2 after structural relaxation from Alexandria via LeMat-Bulk. Energies are from PBE-GGA.

Output
formation enthalpy at 0 K = 275 meV per atom
relative energy among the computed polymorphs = 255 meV/atom

abc: 6.5583 7.1212 9.8877
angles: 90.02 90.11 110.93
Sites, in units of the cell vectors:
Dy 0.2048 0.2089 0.2085
Dy 0.2051 0.2096 0.7904
Dy 0.2710 0.7100 0.7122
Dy 0.2715 0.7095 0.2875
Dy 0.7285 0.2905 0.7125
Dy 0.7290 0.2900 0.2878
Dy 0.7949 0.7904 0.2096
Dy 0.7952 0.7911 0.7915
Tm 0.0000 0.5000 0.0000
Tm 0.5000 0.5000 0.0000
Sc 0.2617 0.0453 0.4995
Sc 0.5000 0.0000 0.0000
Sc 0.5000 0.5000 0.5000
Sc 0.7383 0.9547 0.5005

=====

[6]
Here is ErZr2Tc after structural relaxation from Alexandria via LeMat-Bulk. Energies are from PBE-GGA.

Output
formation enthalpy at 0 K = 195 meV per atom
relative energy among the computed polymorphs = 300 meV/atom

abc: 3.2461 3.2461 30.7378
angles: 90.00 90.00 120.00
Sites, in units of the cell vectors:
Er 0.0000 0.0000 0.0000
Er 0.3333 0.6667 0.6667
Er 0.6667 0.3333 0.3333
Zr 0.0000 0.0000 0.1024
Zr 0.0000 0.0000 0.8976
Zr 0.3333 0.6667 0.5643
Zr 0.3333 0.6667 0.7690
Zr 0.6667 0.3333 0.2310
Zr 0.6667 0.3333 0.4357
Tc 0.0000 0.0000 0.5000
Tc 0.3333 0.6667 0.1667
Tc 0.6667 0.3333 0.8333

=====

[7]
Here is ZrTaCoRe after structural relaxation from Alexandria via LeMat-Bulk. Energies are from PBE-GGA.

Output
formation enthalpy at 0 K = -251 meV per atom

abc: 6.4005 6.4005 6.4005
angles: 90.00 90.00 90.00
Sites, in units of the cell vectors:
Zr 0.0000 0.0000 0.0000
Zr 0.0000 0.5000 0.5000
Zr 0.5000 0.0000 0.5000
Zr 0.5000 0.5000 0.0000
Ta 0.0000 0.0000 0.5000
Ta 0.0000 0.5000 0.0000
Ta 0.5000 0.0000 0.0000
Ta 0.5000 0.5000 0.5000
Co 0.2500 0.2500 0.2500
Co 0.2500 0.7500 0.7500
Co 0.7500 0.2500 0.7500
Co 0.7500 0.7500 0.2500
Re 0.2500 0.2500 0.7500
Re 0.2500 0.7500 0.2500
Re 0.7500 0.2500 0.2500
Re 0.7500 0.7500 0.7500

=====

[8]
Here is TaMnCo2 after structural relaxation from Alexandria via LeMat-Bulk. Energies are from PBE-GGA.

Output
formation enthalpy at 0 K = 64 meV per atom
relative energy among the computed polymorphs = 213 meV/atom

abc: 2.6331 2.6331 7.1228
angles: 90.00 90.00 90.00
Sites, in units of the cell vectors:
Ta 0.0000 0.0000 0.0000
Mn 0.0000 0.0000 0.5000
Co 0.5000 0.5000 0.2783
Co 0.5000 0.5000 0.7217

=====

[9]
Here is SrLaInBr6 after structural relaxation from Alexandria via LeMat-Bulk. Energies are from PBE-GGA.

Output
energy relative to the elements, uncorrected = -15.6 eV/f.u.

abc: 7.8563 7.8563 14.0070
angles: 90.00 90.00 120.00
Sites, in units of the cell vectors:
Sr 0.3333 0.6667 0.2500
Sr 0.6667 0.3333 0.7500
La 0.3333 0.6667 0.7500
La 0.6667 0.3333 0.2500
In 0.0000 0.0000 0.0000
In 0.0000 0.0000 0.5000
Br 0.0110 0.3669 0.6312
Br 0.0110 0.6441 0.8688
Br 0.3559 0.3669 0.8688
Br 0.3559 0.9890 0.6312
Br 0.3669 0.0110 0.1312
Br 0.3669 0.3559 0.3688
Br 0.6331 0.6441 0.6312
Br 0.6331 0.9890 0.8688
Br 0.6441 0.0110 0.3688
Br 0.6441 0.6331 0.1312
Br 0.9890 0.3559 0.1312
Br 0.9890 0.6331 0.3688

=====

[10]
Here is Th3Mg2Pt3 after structural relaxation from Alexandria via LeMat-Bulk. Energies are from PBE-GGA.

Output
formation enthalpy at 0 K = -937 meV per atom

abc: 8.6036 8.6036 5.8837
angles: 90.00 90.00 120.00
Sites, in units of the cell vectors:
Th 0.0000 0.2720 0.2500
Th 0.0000 0.7280 0.7500
Th 0.2720 0.0000 0.2500
Th 0.2720 0.2720 0.7500
Th 0.7280 0.0000 0.7500
Th 0.7280 0.7280 0.2500
Mg 0.3333 0.6667 0.0000
Mg 0.3333 0.6667 0.5000
Mg 0.6667 0.3333 0.0000
Mg 0.6667 0.3333 0.5000
Pt 0.0000 0.3866 0.7500
Pt 0.0000 0.6134 0.2500
Pt 0.3866 0.0000 0.7500
Pt 0.3866 0.3866 0.2500
Pt 0.6134 0.0000 0.2500
Pt 0.6134 0.6134 0.7500

=====

[11]
Here is CoPd12Pt3 after structural relaxation from Alexandria via LeMat-Bulk. Energies are from PBE-GGA.

Output
formation enthalpy at 0 K = -4 meV per atom

abc: 3.9276 3.9276 15.7399
angles: 90.00 90.00 90.00
Sites, in units of the cell vectors:
Co 0.0000 0.0000 0.0000
Pd 0.0000 0.5000 0.1192
Pd 0.0000 0.5000 0.3737
Pd 0.0000 0.5000 0.6263
Pd 0.0000 0.5000 0.8808
Pd 0.5000 0.0000 0.1192
Pd 0.5000 0.0000 0.3737
Pd 0.5000 0.0000 0.6263
Pd 0.5000 0.0000 0.8808
Pd 0.5000 0.5000 0.0000
Pd 0.5000 0.5000 0.2459
Pd 0.5000 0.5000 0.5000
Pd 0.5000 0.5000 0.7541
Pt 0.0000 0.0000 0.2478
Pt 0.0000 0.0000 0.5000
Pt 0.0000 0.0000 0.7522

=====

[12]
Here is RbCuRu2 after structural relaxation from Alexandria via LeMat-Bulk. Energies are from PBE-GGA.

Output
formation enthalpy at 0 K = 1290 meV per atom
relative energy among the computed polymorphs = 0 meV/atom

abc: 4.7160 4.7160 18.4094
angles: 90.00 90.00 90.00
Sites, in units of the cell vectors:
Rb 0.0000 0.0000 0.0000
Rb 0.0000 0.5000 0.2500
Rb 0.5000 0.0000 0.7500
Rb 0.5000 0.5000 0.5000
Cu 0.0000 0.0000 0.5000
Cu 0.0000 0.5000 0.7500
Cu 0.5000 0.0000 0.2500
Cu 0.5000 0.5000 0.0000
Ru 0.0044 0.7500 0.6250
Ru 0.2500 0.0044 0.3750
Ru 0.2500 0.4956 0.8750
Ru 0.4956 0.7500 0.1250
Ru 0.5044 0.2500 0.1250
Ru 0.7500 0.5044 0.8750
Ru 0.7500 0.9956 0.3750
Ru 0.9956 0.2500 0.6250

=====

| no. | electronic total energy (eV/cell) |
| --- | --- |
| 1 | -22.69 |
| 2 | -58.11 |
| 3 | -31.83 |
| 4 | -211.15 |
| 5 | -67.24 |
| 6 | -93.74 |
| 7 | -163.83 |
| 8 | -34.98 |
| 9 | -70.03 |
| 10 | -102.13 |
| 11 | -87.61 |
| 12 | -73.81 |